Record 1
Tc2AgIr, optimized geometry, DFT GGA-PBE; energy of formation from the pure elements = 0.22 eV/atom; symmetry = No. 166; total magnetic moment = 0.00 μB per cell; calculated volume = 15.31 Å³ per atom; excess energy over the best structure of this formula in the dataset = 0.0813 eV/atom
1.0
9.4498 -0.0112 -0.0066
9.0514 2.7150 -0.0066
9.0514 1.3228 2.3709
Tc Ag Ir
2 1 1
direct
0.4947 0.4947 0.4947 Tc
0.0053 0.0053 0.0053 Tc
0.2500 0.2500 0.2500 Ag
0.7500 0.7500 0.7500 Ir

=====

Record 2
Sr2TlBi3Pt4, optimized geometry, DFT GGA-PBE; energy of formation from the pure elements = -0.52 eV/atom; symmetry = No. 115; total magnetic moment = 0.00 μB per cell; calculated volume = 26.10 Å³ per atom
1.0
4.9002 0.0000 0.0000
0.0000 4.9002 0.0000
0.0000 0.0000 10.8698
Bi Tl Sr Pt
3 1 2 4
direct
0.0000 0.5000 0.1233 Bi
0.0000 0.0000 0.5000 Bi
0.5000 0.0000 0.8767 Bi
0.5000 0.5000 0.5000 Tl
0.5000 0.0000 0.2357 Sr
0.0000 0.5000 0.7643 Sr
0.5000 0.0000 0.6268 Pt
0.5000 0.5000 0.0000 Pt
0.0000 0.0000 0.0000 Pt
0.0000 0.5000 0.3732 Pt